Entry from Alexandria via LeMat-Bulk: Sm2InTe4 after structural relaxation (PBE).

POSCAR file:
```
Sm2InTe4
1.0
-7.9777 4.4046 0.9297
0.1060 -9.0609 -1.3407
2.8437 3.4883 7.9783
Te Sm In
8 4 2
Cartesian
-2.4754 3.5610 7.0683
1.4914 -3.0566 6.0631
-3.7611 -2.8709 2.5961
0.0999 -0.4275 2.9316
-3.8195 1.9190 3.3086
-2.2698 -0.9824 6.4973
1.4440 1.2143 6.6913
0.0002 -4.9450 2.1617
-1.1348 -2.9637 4.3296
-1.1878 1.5667 4.9999
-5.1766 3.7690 5.4648
-2.5567 -4.7079 0.3404
-5.2193 -0.3549 2.0215
0.0000 0.0000 0.0000
```

Output
**D(E_F)**: 5.2 states/eV/cell
**Total energy**: -4.594 eV per atom
**Formation energy without anion corrections**: -1060 meV/atom
**Magnetic moment**: 0.00 Bohr magnetons per cell
**Excess energy over the best structure of this formula in the dataset**: 0 meV/atom
**SG**: I4_1/amd (141)